# 1
VASP calculation (PBE-GGA) on crystalline WBr at its relaxed geometry.

```
data_WBr
_chemical_formula_sum 'W2 Br2'
_cell_length_a 4.549
_cell_length_b 3.163
_cell_length_c 7.327
_cell_angle_alpha 90.00
_cell_angle_beta 106.00
_cell_angle_gamma 90.00
_space_group_name_H-M_alt 'P 1 21/m 1'
_space_group_IT_number 11
loop_
_space_group_symop_operation_xyz
'x,y,z'
'-x,-y,-z'
'-x,y+1/2,-z'
'x,-y+1/2,z'
loop_
_atom_site_label
_atom_site_type_symbol
_atom_site_fract_x
_atom_site_fract_y
_atom_site_fract_z
W1 W 0.210 0.250 0.482
Br1 Br 0.350 0.750 0.216
```

## Properties
Calculated volume (A^3/atom): 25.33
Raw formation energy (meV/atom): 531
Mass density (g cm⁻³): 8.6
VASP energy (eV/cell): -27.1

=====

# 2
VASP calculation (PBE-GGA) on crystalline BeCdBi2As at its relaxed geometry.

```
data_BeCdBi2As
_chemical_formula_sum 'Be1 Cd1 Bi2 As1'
_cell_length_a 5.154
_cell_length_b 5.154
_cell_length_c 4.693
_cell_angle_alpha 90.00
_cell_angle_beta 90.00
_cell_angle_gamma 90.00
_space_group_name_H-M_alt 'P 4/m m m'
_space_group_IT_number 123
_space_group_name_Hall '-P 4 2'
loop_
_atom_site_label
_atom_site_type_symbol
_atom_site_fract_x
_atom_site_fract_y
_atom_site_fract_z
Be1 Be 0.000 0.000 0.000
Cd1 Cd 0.000 0.000 0.500
Bi1 Bi 0.000 0.500 0.000
As1 As 0.500 0.500 0.500
```

## Properties
Calculated volume (A^3/atom): 24.94
Formation energy from the elements (meV/atom): 461
Mass density (g cm⁻³): 8.2
VASP energy (eV/cell): -14.8

=====

# 3
VASP calculation (PBE-GGA) on crystalline La4PrNd2Mg at its relaxed geometry.

```
data_La4PrNd2Mg
_chemical_formula_sum 'La4 Pr1 Nd2 Mg1'
_cell_length_a 5.994
_cell_length_b 5.994
_cell_length_c 7.794
_cell_angle_alpha 90.00
_cell_angle_beta 90.00
_cell_angle_gamma 90.00
_space_group_name_H-M_alt 'P 4/m m m'
_space_group_IT_number 123
_space_group_name_Hall '-P 4 2'
loop_
_atom_site_label
_atom_site_type_symbol
_atom_site_fract_x
_atom_site_fract_y
_atom_site_fract_z
La1 La 0.000 0.500 0.230
Pr1 Pr 0.000 0.000 0.500
Nd1 Nd 0.000 0.000 0.000
Nd2 Nd 0.500 0.500 0.500
Mg1 Mg 0.500 0.500 0.000
```

## Properties
Calculated volume (A^3/atom): 35.00
Formation energy from the elements (meV/atom): 49
Mass density (g cm⁻³): 6.0
VASP energy (eV/cell): -35.2

=====

# 4
VASP calculation (PBE-GGA) on crystalline TaTlP2Cl at its relaxed geometry.

```
data_TaTlP2Cl
_chemical_formula_sum 'Ta1 Tl1 P2 Cl1'
_cell_length_a 4.854
_cell_length_b 4.854
_cell_length_c 5.126
_cell_angle_alpha 90.00
_cell_angle_beta 90.00
_cell_angle_gamma 90.00
_space_group_name_H-M_alt 'P 4/m m m'
_space_group_IT_number 123
_space_group_name_Hall '-P 4 2'
loop_
_atom_site_label
_atom_site_type_symbol
_atom_site_fract_x
_atom_site_fract_y
_atom_site_fract_z
Ta1 Ta 0.000 0.000 0.000
Tl1 Tl 0.500 0.500 0.500
P1 P 0.000 0.500 0.000
Cl1 Cl 0.000 0.000 0.500
```

## Properties
Calculated volume (A^3/atom): 24.15
Raw formation energy (meV/atom): -168
Mass density (g cm⁻³): 6.6
VASP energy (eV/cell): -27.7

=====

# 5
VASP calculation (PBE-GGA) on crystalline DyTiRu4 at its relaxed geometry.

```
data_DyTiRu4
_chemical_formula_sum 'Dy4 Ti4 Ru16'
_cell_length_a 7.372
_cell_length_b 7.372
_cell_length_c 7.372
_cell_angle_alpha 90.00
_cell_angle_beta 90.00
_cell_angle_gamma 90.00
_space_group_name_H-M_alt 'F -4 3 m'
_space_group_IT_number 216
_space_group_name_Hall 'F -4 2 3'
loop_
_atom_site_label
_atom_site_type_symbol
_atom_site_fract_x
_atom_site_fract_y
_atom_site_fract_z
Dy1 Dy 0.000 0.000 0.000
Ti1 Ti 0.250 0.250 0.750
Ru1 Ru 0.124 0.124 0.376
```

## Properties
Calculated volume (A^3/atom): 16.70
Formation energy from the elements (meV/atom): -187
Mass density (g cm⁻³): 10.2
VASP energy (eV/cell): -202.9

=====

# 6
VASP calculation (PBE-GGA) on crystalline MnVRh3 at its relaxed geometry.

```
data_MnVRh3
_chemical_formula_sum 'Mn4 V4 Rh12'
_cell_length_a 3.877
_cell_length_b 18.167
_cell_length_c 3.876
_cell_angle_alpha 90.00
_cell_angle_beta 90.00
_cell_angle_gamma 90.00
_space_group_name_H-M_alt 'C m c m'
_space_group_IT_number 63
_space_group_name_Hall '-C 2c 2'
loop_
_atom_site_label
_atom_site_type_symbol
_atom_site_fract_x
_atom_site_fract_y
_atom_site_fract_z
Mn1 Mn 0.000 0.151 0.250
V1 V 0.000 0.350 0.250
Rh1 Rh 0.000 0.055 0.750
Rh2 Rh 0.000 0.250 0.750
Rh3 Rh 0.000 0.443 0.750
```

## Properties
Calculated volume (A^3/atom): 13.65
Formation energy from the elements (meV/atom): -251
Mass density (g cm⁻³): 10.1
VASP energy (eV/cell): -166.4

=====

# 7
VASP calculation (PBE-GGA) on crystalline K2CaTlB at its relaxed geometry.

```
data_K2CaTlB
_chemical_formula_sum 'K2 Ca1 Tl1 B1'
_cell_length_a 6.641
_cell_length_b 6.641
_cell_length_c 4.284
_cell_angle_alpha 90.00
_cell_angle_beta 90.00
_cell_angle_gamma 90.00
_space_group_name_H-M_alt 'P 4/m m m'
_space_group_IT_number 123
_space_group_name_Hall '-P 4 2'
loop_
_atom_site_label
_atom_site_type_symbol
_atom_site_fract_x
_atom_site_fract_y
_atom_site_fract_z
K1 K 0.000 0.500 0.000
Ca1 Ca 0.000 0.000 0.500
Tl1 Tl 0.500 0.500 0.500
B1 B 0.500 0.500 0.000
```

## Properties
Calculated volume (A^3/atom): 37.78
Formation energy from the elements (meV/atom): 614
Mass density (g cm⁻³): 2.9
VASP energy (eV/cell): -10.2

=====

# 8
VASP calculation (PBE-GGA) on crystalline SrPb2Se at its relaxed geometry.

```
data_SrPb2Se
_chemical_formula_sum 'Sr4 Pb8 Se4'
_cell_length_a 9.506
_cell_length_b 9.506
_cell_length_c 6.108
_cell_angle_alpha 90.00
_cell_angle_beta 90.00
_cell_angle_gamma 90.00
_space_group_name_H-M_alt 'I -4 2 d'
_space_group_IT_number 122
_space_group_name_Hall 'I -4 2bw'
loop_
_atom_site_label
_atom_site_type_symbol
_atom_site_fract_x
_atom_site_fract_y
_atom_site_fract_z
Sr1 Sr 0.000 0.000 0.000
Pb1 Pb 0.193 0.250 0.625
Se1 Se 0.000 0.000 0.500
```

## Properties
Calculated volume (A^3/atom): 34.50
Raw formation energy (meV/atom): -441
Mass density (g cm⁻³): 7.0
VASP energy (eV/cell): -57.4

=====

# 9
VASP calculation (PBE-GGA) on crystalline Ac2CuPO6 at its relaxed geometry.

```
data_Ac2CuPO6
_chemical_formula_sum 'Ac2 Cu1 P1 O6'
_cell_length_a 5.571
_cell_length_b 5.571
_cell_length_c 4.147
_cell_angle_alpha 90.00
_cell_angle_beta 90.00
_cell_angle_gamma 90.00
_space_group_name_H-M_alt 'P 4 m m'
_space_group_IT_number 99
loop_
_space_group_symop_operation_xyz
'x,y,z'
'-y,x,z'
'-x,-y,z'
'y,-x,z'
'-x,y,z'
'y,x,z'
'x,-y,z'
'-y,-x,z'
loop_
_atom_site_label
_atom_site_type_symbol
_atom_site_fract_x
_atom_site_fract_y
_atom_site_fract_z
Ac1 Ac 0.000 0.500 0.000
Cu1 Cu 0.000 0.000 0.492
P1 P 0.500 0.500 0.512
O1 O 0.000 0.000 0.016
O2 O 0.290 0.290 0.589
O3 O 0.500 0.500 0.128
```

## Properties
Calculated volume (A^3/atom): 12.87
Raw formation energy (meV/atom): -2432
Mass density (g cm⁻³): 8.3
VASP energy (eV/cell): -71.8

=====

# 10
VASP calculation (PBE-GGA) on crystalline RbPuAgI4 at its relaxed geometry.

```
data_RbPuAgI4
_chemical_formula_sum 'Rb2 Pu2 Ag2 I8'
_cell_length_a 7.403
_cell_length_b 8.459
_cell_length_c 10.046
_cell_angle_alpha 90.00
_cell_angle_beta 109.33
_cell_angle_gamma 90.00
_space_group_name_H-M_alt 'P 1 21/m 1'
_space_group_IT_number 11
loop_
_space_group_symop_operation_xyz
'x,y,z'
'-x,-y,-z'
'-x,y+1/2,-z'
'x,-y+1/2,z'
loop_
_atom_site_label
_atom_site_type_symbol
_atom_site_fract_x
_atom_site_fract_y
_atom_site_fract_z
Rb1 Rb 0.206 0.250 0.040
Pu1 Pu 0.205 0.250 0.553
Ag1 Ag 0.218 0.750 0.332
I1 I 0.036 0.517 0.714
I2 I 0.433 0.750 0.146
I3 I 0.487 0.750 0.605
```

## Properties
Calculated volume (A^3/atom): 42.40
Raw formation energy (meV/atom): -894
Mass density (g cm⁻³): 5.3
VASP energy (eV/cell): -61.2

=====

# 11
VASP calculation (PBE-GGA) on crystalline Er2InSn at its relaxed geometry.

```
data_Er2InSn
_chemical_formula_sum 'Er2 In1 Sn1'
_cell_length_a 4.897
_cell_length_b 4.897
_cell_length_c 4.332
_cell_angle_alpha 90.00
_cell_angle_beta 90.00
_cell_angle_gamma 90.00
_space_group_name_H-M_alt 'P 4/m m m'
_space_group_IT_number 123
_space_group_name_Hall '-P 4 2'
loop_
_atom_site_label
_atom_site_type_symbol
_atom_site_fract_x
_atom_site_fract_y
_atom_site_fract_z
Er1 Er 0.000 0.500 0.000
In1 In 0.000 0.000 0.500
Sn1 Sn 0.500 0.500 0.500
```

## Properties
Calculated volume (A^3/atom): 25.97
Formation energy from the elements (meV/atom): -527
Mass density (g cm⁻³): 9.1
VASP energy (eV/cell): -18.0

=====

# 12
VASP calculation (PBE-GGA) on crystalline RbPuCl6 at its relaxed geometry.

```
data_RbPuCl6
_chemical_formula_sum 'Rb3 Pu3 Cl18'
_cell_length_a 7.1621
_cell_length_b 7.1621
_cell_length_c 19.6752
_cell_angle_alpha 90.00
_cell_angle_beta 90.00
_cell_angle_gamma 120.00
_space_group_name_H-M_alt 'R -3 m'
_space_group_IT_number 166
_space_group_name_Hall '-R 3 2"'
loop_
_atom_site_label
_atom_site_type_symbol
_atom_site_fract_x
_atom_site_fract_y
_atom_site_fract_z
Rb1 Rb 0.0000 0.0000 0.0000
Pu1 Pu 0.0000 0.0000 0.5000
Cl1 Cl 0.0035 0.5017 0.0918
```

## Properties
Calculated volume (A^3/atom): 36.42
Raw formation energy (meV/atom): -1564
Mass density (g cm⁻³): 3.1
VASP energy (eV/cell): -116.7

=====

For reference, magnetization by record: 0.00; 0.00; 0.00; 0.00; 0.00; 0.44; 0.00; 0.00; 0.00; 0.86; 0.00; 0.37 μB per atom.